Compound: VSbN
Source: Alexandria via LeMat-Bulk
Functional: GGA-PBE
Structure: relaxed

```
12
Lattice="5.6239 0.0000 0.0000 0.0000 5.6239 0.0000 0.0000 0.0000 5.6239" Properties=species:S:1:pos:R:3 pbc="T T T"
V 0.4475 0.4475 0.4475
V 2.3644 5.1763 3.2595
V 3.2595 2.3644 5.1763
V 5.1763 3.2595 2.3644
Sb 0.6260 3.4379 4.9979
Sb 2.1860 2.1860 2.1860
Sb 3.4379 4.9979 0.6260
Sb 4.9979 0.6260 3.4379
N 0.6247 4.9992 2.1872
N 2.1872 0.6247 4.9992
N 3.4366 3.4366 3.4366
N 4.9992 2.1872 0.6247
```

Output
N(E_F) = 8.682 states/eV/cell
formation energy from raw total energies = 0.001 eV/atom
size of the total moment = 4.02 μB/cell
space group = P2_13, No. 198